! MgReSi2, optimized geometry, DFT PBE-GGA; values from VASP
&SYSTEM
  ibrav = 0, nat = 4, ntyp = 3
/
ATOMIC_SPECIES
Mg 24.30 Mg.upf
Re 186.21 Re.upf
Si 28.09 Si.upf
ATOMIC_POSITIONS crystal
Mg 0.750 0.250 0.500
Re 0.250 0.750 0.500
Si 0.002 0.002 0.000
Si 0.498 0.498 0.000
CELL_PARAMETERS angstrom
4.735 0.002 0.020
1.385 4.528 -0.020
-2.645 -2.826 2.728
! - ΔE_f (raw): 0.108 eV/atom
! - Space group: No. 71